InSbI4 | PBE | optimized geometry

Cell: 7.7699 7.7699 8.6753 Å, 101.13 101.13 33.56°
Fractional coordinates of all 6 atoms:
In  0.0000  0.0000  0.0000
Sb  0.5000  0.5000  0.5000
I  0.1217  0.1217  0.4040
I  0.3749  0.3749  0.1787
I  0.6251  0.6251  0.8213
I  0.8783  0.8783  0.5960

Output
E_tot (Ry/atom): -0.18560
Energy above the lowest structure with this stoichiometry (meV per atom): 0
Uncorrected formation energy (eV/atom): -0.35

=====

InSbI | PBE | optimized geometry

Cell: 6.3037 8.2231 9.6452 Å, 90.00 121.38 90.00°
Fractional coordinates of all 12 atoms:
In  0.1468  0.2013  0.1615
In  0.1468  0.2988  0.6615
In  0.8532  0.7012  0.3385
In  0.8532  0.7988  0.8385
Sb  0.2370  0.0590  0.9146
Sb  0.2370  0.4410  0.4146
Sb  0.7630  0.5590  0.5854
Sb  0.7630  0.9410  0.0854
I  0.3086  0.5978  0.0868
I  0.3086  0.9022  0.5868
I  0.6914  0.0978  0.4132
I  0.6914  0.4022  0.9132

Output
E_tot (Ry/atom): -0.21619
Uncorrected formation energy (eV/atom): -0.14

=====

InSbI3 | PBE | optimized geometry

Cell: 6.1231 6.1231 6.1231 Å, 90.00 90.00 90.00°
Fractional coordinates of all 5 atoms:
In  0.0000  0.0000  0.0000
Sb  0.5000  0.5000  0.5000
I  0.0000  0.5000  0.5000
I  0.5000  0.0000  0.5000
I  0.5000  0.5000  0.0000

Output
E_tot (Ry/atom): -0.18207
Energy above the lowest structure with this stoichiometry (meV per atom): 46
Uncorrected formation energy (eV/atom): -0.17

=====

InSbI3 | PBE | optimized geometry

Cell: 4.3276 11.0439 11.3611 Å, 77.87 79.45 89.94°
Fractional coordinates of all 10 atoms:
In  0.1369  0.0128  0.1908
In  0.8631  0.9872  0.8092
Sb  0.2785  0.5704  0.9399
Sb  0.7215  0.4296  0.0601
I  0.1070  0.2270  0.2881
I  0.2292  0.8305  0.0344
I  0.4329  0.1177  0.6530
I  0.5671  0.8823  0.3470
I  0.7708  0.1695  0.9656
I  0.8930  0.7730  0.7119

Output
E_tot (Ry/atom): -0.18542
Energy above the lowest structure with this stoichiometry (meV per atom): 0
Uncorrected formation energy (eV/atom): -0.22

=====

In3Sb5I12 | PBE | optimized geometry

Cell: 17.3362 17.3362 17.3362 Å, 109.47 109.47 109.47°
Fractional coordinates of all 80 atoms:
In  0.1250  0.2500  0.3750
In  0.1250  0.3750  0.7500
In  0.2500  0.3750  0.1250
In  0.2500  0.8750  0.6250
In  0.3750  0.1250  0.2500
In  0.3750  0.7500  0.1250
In  0.6250  0.2500  0.8750
In  0.6250  0.8750  0.7500
In  0.7500  0.1250  0.3750
In  0.7500  0.6250  0.8750
In  0.8750  0.6250  0.2500
In  0.8750  0.7500  0.6250
Sb  0.0000  0.0000  0.0000
Sb  0.0000  0.0000  0.5000
Sb  0.0000  0.5000  0.0000
Sb  0.0000  0.5000  0.5000
Sb  0.1250  0.7500  0.8750
Sb  0.1250  0.8750  0.2500
Sb  0.2500  0.1250  0.8750
Sb  0.2500  0.6250  0.3750
Sb  0.3750  0.2500  0.6250
Sb  0.3750  0.6250  0.7500
Sb  0.5000  0.0000  0.0000
Sb  0.5000  0.0000  0.5000
Sb  0.5000  0.5000  0.0000
Sb  0.5000  0.5000  0.5000
Sb  0.6250  0.3750  0.2500
Sb  0.6250  0.7500  0.3750
Sb  0.7500  0.3750  0.6250
Sb  0.7500  0.8750  0.1250
Sb  0.8750  0.1250  0.7500
Sb  0.8750  0.2500  0.1250
I  0.0247  0.1983  0.1188
I  0.0247  0.3264  0.9059
I  0.0794  0.6983  0.6736
I  0.0794  0.8812  0.4059
I  0.0941  0.6188  0.4206
I  0.0941  0.9753  0.6736
I  0.1188  0.0247  0.1983
I  0.1188  0.5941  0.9206
I  0.1736  0.1983  0.5794
I  0.1736  0.4753  0.5941
I  0.1983  0.1188  0.0247
I  0.1983  0.5794  0.1736
I  0.3017  0.3264  0.9206
I  0.3017  0.4753  0.3812
I  0.3264  0.9059  0.0247
I  0.3264  0.9206  0.3017
I  0.3812  0.3017  0.4753
I  0.3812  0.5794  0.9059
I  0.4059  0.0794  0.8812
I  0.4059  0.8264  0.5247
I  0.4206  0.0941  0.6188
I  0.4206  0.8264  0.8017
I  0.4753  0.3812  0.3017
I  0.4753  0.5941  0.1736
I  0.5247  0.4059  0.8264
I  0.5247  0.6188  0.6983
I  0.5794  0.1736  0.1983
I  0.5794  0.9059  0.3812
I  0.5941  0.1736  0.4753
I  0.5941  0.9206  0.1188
I  0.6188  0.4206  0.0941
I  0.6188  0.6983  0.5247
I  0.6736  0.0794  0.6983
I  0.6736  0.0941  0.9753
I  0.6983  0.5247  0.6188
I  0.6983  0.6736  0.0794
I  0.8017  0.4206  0.8264
I  0.8017  0.8812  0.9753
I  0.8264  0.5247  0.4059
I  0.8264  0.8017  0.4206
I  0.8812  0.4059  0.0794
I  0.8812  0.9753  0.8017
I  0.9059  0.0247  0.3264
I  0.9059  0.3812  0.5794
I  0.9206  0.1188  0.5941
I  0.9206  0.3017  0.3264
I  0.9753  0.6736  0.0941
I  0.9753  0.8017  0.8812

Output
E_tot (Ry/atom): -0.17605
Uncorrected formation energy (eV/atom): -0.02

=====

InSb2I8 | PBE | optimized geometry

Cell: 8.7734 8.7734 9.1239 Å, 93.87 93.87 77.51°
Fractional coordinates of all 11 atoms:
In  0.0000  0.0000  0.0000
Sb  0.1531  0.1531  0.3729
Sb  0.8469  0.8469  0.6271
I  0.0423  0.6538  0.8387
I  0.0955  0.0955  0.7146
I  0.3462  0.9577  0.1613
I  0.3541  0.3541  0.4537
I  0.6459  0.6459  0.5463
I  0.6538  0.0423  0.8387
I  0.9045  0.9045  0.2854
I  0.9577  0.3462  0.1613

Output
E_tot (Ry/atom): -0.17695
Uncorrected formation energy (eV/atom): -0.28

=====

In3SbI6 | PBE | optimized geometry

Cell: 8.0106 9.1269 13.8468 Å, 90.00 120.93 90.00°
Fractional coordinates of all 20 atoms:
In  0.0000  0.0000  0.0000
In  0.0000  0.5000  0.5000
In  0.1860  0.0953  0.7270
In  0.1860  0.4047  0.2270
In  0.8140  0.5953  0.7730
In  0.8140  0.9047  0.2730
Sb  0.5000  0.0000  0.5000
Sb  0.5000  0.5000  0.0000
I  0.1392  0.1717  0.4538
I  0.1392  0.3283  0.9538
I  0.2650  0.7134  0.4229
I  0.2650  0.7866  0.9229
I  0.4046  0.0601  0.2603
I  0.4046  0.4399  0.7603
I  0.5954  0.5601  0.2397
I  0.5954  0.9399  0.7397
I  0.7350  0.2134  0.0771
I  0.7350  0.2866  0.5771
I  0.8608  0.6717  0.0462
I  0.8608  0.8283  0.5462

Output
E_tot (Ry/atom): -0.18860
Uncorrected formation energy (eV/atom): -0.40

=====

InSb2SeI | PBE | optimized geometry

Cell: 5.7268 5.7268 5.6006 Å, 90.00 90.00 90.00°
Fractional coordinates of all 5 atoms:
In  0.0000  0.0000  0.0000
Sb  0.0000  0.5000  0.0000
Sb  0.5000  0.0000  0.0000
Se  0.5000  0.5000  0.5000
I  0.0000  0.0000  0.5000

Output
E_tot (Ry/atom): -0.18109
Energy above the lowest structure with this stoichiometry (meV per atom): 304
Uncorrected formation energy (eV/atom): 0.74

=====

InSb2SeI | PBE | optimized geometry

Cell: 5.4905 5.4905 5.9346 Å, 90.00 90.00 90.00°
Fractional coordinates of all 5 atoms:
In  0.0000  0.0000  0.0000
Sb  0.0000  0.5000  0.5000
Sb  0.5000  0.0000  0.5000
Se  0.5000  0.5000  0.5000
I  0.5000  0.5000  0.0000

Output
E_tot (Ry/atom): -0.20346
Energy above the lowest structure with this stoichiometry (meV per atom): 0
Uncorrected formation energy (eV/atom): 0.44

=====

InSiSb2I | PBE | optimized geometry

Cell: 5.3211 5.3211 5.6685 Å, 90.00 90.00 90.00°
Fractional coordinates of all 5 atoms:
In  0.0000  0.0000  0.0000
Si  0.5000  0.5000  0.5000
Sb  0.0000  0.5000  0.5000
Sb  0.5000  0.0000  0.5000
I  0.5000  0.5000  0.0000

Output
E_tot (Ry/atom): -0.23230
Energy above the lowest structure with this stoichiometry (meV per atom): 0
Uncorrected formation energy (eV/atom): 0.43

=====

InSiSb2I | PBE | optimized geometry

Cell: 5.6394 5.6394 5.7254 Å, 90.00 90.00 90.00°
Fractional coordinates of all 5 atoms:
In  0.0000  0.0000  0.0000
Si  0.5000  0.5000  0.5000
Sb  0.0000  0.5000  0.0000
Sb  0.5000  0.0000  0.0000
I  0.0000  0.0000  0.5000

Output
E_tot (Ry/atom): -0.18976
Energy above the lowest structure with this stoichiometry (meV per atom): 579
Uncorrected formation energy (eV/atom): 1.01

=====

InSnSbI2 | PBE | optimized geometry

Cell: 6.1546 6.1546 5.9006 Å, 90.00 90.00 90.00°
Fractional coordinates of all 5 atoms:
In  0.0000  0.0000  0.0000
Sn  0.5000  0.5000  0.5000
Sb  0.5000  0.5000  0.0000
I  0.0000  0.5000  0.5000
I  0.5000  0.0000  0.5000

Output
E_tot (Ry/atom): -0.19691
Energy above the lowest structure with this stoichiometry (meV per atom): 0
Uncorrected formation energy (eV/atom): 0.11

=====

The evaluated magnetization for the records listed, in turn: 0.00 0.00 0.00 0.00 0.00 0.00 0.00 0.44 0.48 0.00 0.07 1.64 μB/f.u..